Record 1
First-principles (PBE-GGA) data for TaBW after structural relaxation, as listed in OQMD.

Unit cell a=6.085 b=4.478 c=6.092 alpha=90.00 beta=90.00 gamma=90.00
Space group Pnma (No. 62)
Inequivalent atoms, fractional coordinates:
1 Ta 0.027 0.250 0.164 [4 per cell]
2 B 0.209 0.250 0.527 [4 per cell]
3 W 0.143 0.750 0.376 [4 per cell]

Results
Crystal system   orthorhombic
Polymorph energy (0 for the lowest one)   601 meV/atom

Record 2
First-principles (PBE-GGA) data for Ta2BW after structural relaxation, as listed in OQMD.

Unit cell a=6.209 b=6.209 c=6.209 alpha=90.00 beta=90.00 gamma=90.00
Space group F-43m (No. 216)
Inequivalent atoms, fractional coordinates:
1 Ta 0.000 0.000 0.000 [4 per cell]
2 Ta 0.250 0.250 0.250 [4 per cell]
3 B 0.000 0.000 0.500 [4 per cell]
4 W 0.250 0.250 0.750 [4 per cell]

Results
Crystal system   cubic

Record 3
First-principles (PBE-GGA) data for TaBW2 after structural relaxation, as listed in OQMD.

Unit cell a=6.160 b=6.160 c=6.160 alpha=90.00 beta=90.00 gamma=90.00
Space group F-43m (No. 216)
Inequivalent atoms, fractional coordinates:
1 Ta 0.000 0.000 0.000 [4 per cell]
2 B 0.250 0.250 0.750 [4 per cell]
3 W 0.000 0.000 0.500 [4 per cell]
4 W 0.250 0.250 0.250 [4 per cell]

Results
Crystal system   cubic

Record 4
First-principles (PBE-GGA) data for TaBW after structural relaxation, as listed in OQMD.

Unit cell a=6.338 b=3.226 c=7.753 alpha=90.00 beta=90.00 gamma=90.00
Space group Pnma (No. 62)
Inequivalent atoms, fractional coordinates:
1 Ta 0.017 0.250 0.173 [4 per cell]
2 B 0.222 0.750 0.348 [4 per cell]
3 W 0.152 0.250 0.557 [4 per cell]

Results
Crystal system   orthorhombic
Polymorph energy (0 for the lowest one)   0 meV/atom

Record 5
First-principles (PBE-GGA) data for TaB2W2 after structural relaxation, as listed in OQMD.

Unit cell a=6.133 b=6.133 c=3.189 alpha=90.00 beta=90.00 gamma=90.00
Space group P4/mbm (No. 127)
Inequivalent atoms, fractional coordinates:
1 Ta 0.000 0.000 0.000 [2 per cell]
2 B 0.113 0.387 0.000 [4 per cell]
3 W 0.171 0.671 0.500 [4 per cell]

Results
Crystal system   tetragonal

Record 6
First-principles (PBE-GGA) data for YTaB4 after structural relaxation, as listed in OQMD.

Unit cell a=6.164 b=11.924 c=3.582 alpha=90.00 beta=90.00 gamma=90.00
Space group Pbam (No. 55)
Inequivalent atoms, fractional coordinates:
1 Y 0.126 0.151 0.000 [4 per cell]
2 Ta 0.134 0.413 0.000 [4 per cell]
3 B 0.023 0.694 0.500 [4 per cell]
4 B 0.117 0.548 0.500 [4 per cell]
5 B 0.132 0.969 0.500 [4 per cell]
6 B 0.206 0.811 0.500 [4 per cell]

Results
Crystal system   orthorhombic

Record 7
First-principles (PBE-GGA) data for Y2TaB6 after structural relaxation, as listed in OQMD.

Unit cell a=9.410 b=11.774 c=3.663 alpha=90.00 beta=90.00 gamma=90.00
Space group Pbam (No. 55)
Inequivalent atoms, fractional coordinates:
1 Y 0.057 0.129 0.000 [4 per cell]
2 Y 0.178 0.414 0.000 [4 per cell]
3 Ta 0.141 0.680 0.000 [4 per cell]
4 B 0.021 0.288 0.500 [4 per cell]
5 B 0.052 0.564 0.500 [4 per cell]
6 B 0.101 0.972 0.500 [4 per cell]
7 B 0.132 0.818 0.500 [4 per cell]
8 B 0.205 0.238 0.500 [4 per cell]
9 B 0.248 0.078 0.500 [4 per cell]

Results
Crystal system   orthorhombic

Record 8
First-principles (PBE-GGA) data for YTaB4 after structural relaxation, as listed in OQMD.

Unit cell a=3.1472 b=3.1472 c=7.2561 alpha=90.00 beta=90.00 gamma=120.00
Space group P6/mmm (No. 191)
Inequivalent atoms, fractional coordinates:
1 Y 0.0000 0.0000 0.0000 [1 per cell]
2 Ta 0.0000 0.0000 0.5000 [1 per cell]
3 B 0.3333 0.6667 0.2720 [4 per cell]

Results
Crystal system   hexagonal

Record 9
First-principles (PBE-GGA) data for YTaB2 after structural relaxation, as listed in OQMD.

Unit cell a=6.128 b=6.128 c=6.128 alpha=90.00 beta=90.00 gamma=90.00
Space group F-43m (No. 216)
Inequivalent atoms, fractional coordinates:
1 Y 0.000 0.000 0.000 [4 per cell]
2 Ta 0.250 0.250 0.750 [4 per cell]
3 B 0.000 0.000 0.500 [4 per cell]
4 B 0.250 0.250 0.250 [4 per cell]

Results
Crystal system   cubic

Record 10
First-principles (PBE-GGA) data for Ta2ZnB after structural relaxation, as listed in OQMD.

Unit cell a=6.202 b=6.202 c=6.202 alpha=90.00 beta=90.00 gamma=90.00
Space group F-43m (No. 216)
Inequivalent atoms, fractional coordinates:
1 Ta 0.000 0.000 0.000 [4 per cell]
2 Ta 0.250 0.250 0.250 [4 per cell]
3 Zn 0.250 0.250 0.750 [4 per cell]
4 B 0.000 0.000 0.500 [4 per cell]

Results
Crystal system   cubic
Polymorph energy (0 for the lowest one)   1211 meV/atom

Record 11
First-principles (PBE-GGA) data for TaZnB2 after structural relaxation, as listed in OQMD.

Unit cell a=5.746 b=5.746 c=5.746 alpha=90.00 beta=90.00 gamma=90.00
Space group F-43m (No. 216)
Inequivalent atoms, fractional coordinates:
1 Ta 0.000 0.000 0.000 [4 per cell]
2 Zn 0.250 0.250 0.250 [4 per cell]
3 B 0.000 0.000 0.500 [4 per cell]
4 B 0.250 0.250 0.750 [4 per cell]

Results
Crystal system   cubic

Record 12
First-principles (PBE-GGA) data for TaZnB4 after structural relaxation, as listed in OQMD.

Unit cell a=3.0292 b=3.0292 c=7.1297 alpha=90.00 beta=90.00 gamma=120.00
Space group P6/mmm (No. 191)
Inequivalent atoms, fractional coordinates:
1 Ta 0.0000 0.0000 0.0000 [1 per cell]
2 Zn 0.0000 0.0000 0.5000 [1 per cell]
3 B 0.3333 0.6667 0.2403 [4 per cell]

Results
Crystal system   hexagonal
Polymorph energy (0 for the lowest one)   0 meV/atom

| no. | E (eV per cell) |
| --- | --- |
| 1 | -124.2 |
| 2 | -163.4 |
| 3 | -167.6 |
| 4 | -131.4 |
| 5 | -105.9 |
| 6 | -195.2 |
| 7 | -280.9 |
| 8 | -49.5 |
| 9 | -101.1 |
| 10 | -111.5 |
| 11 | -84.0 |
| 12 | -40.9 |